## V5NiMo4 (GGA-PBE)

Data for V5NiMo4 after structural relaxation.

Calculated values
* electronic total energy: -9.575 eV per atom
* crystal system: tetragonal
* spin magnetization: 0.6 μB/cell
* N(E_F): 9.62 states/eV/cell
* V: 14.14 Å³ per atom

The structure in CIF format:
```
data_V5NiMo4
_chemical_formula_sum 'V5 Ni1 Mo4'
_cell_length_a 3.072
_cell_length_b 3.072
_cell_length_c 14.990
_cell_angle_alpha 90.00
_cell_angle_beta 90.00
_cell_angle_gamma 90.00
_space_group_name_H-M_alt 'P 4/m m m'
_space_group_IT_number 123
_space_group_name_Hall '-P 4 2'
loop_
_atom_site_label
_atom_site_type_symbol
_atom_site_fract_x
_atom_site_fract_y
_atom_site_fract_z
_atom_site_occupancy
V1 V 0.000 0.000 0.000 1
V2 V 0.000 0.000 0.206 1
V3 V 0.000 0.000 0.406 1
Ni1 Ni 0.500 0.500 0.500 1
Mo1 Mo 0.500 0.500 0.102 1
Mo2 Mo 0.500 0.500 0.309 1
```